This record from the Alexandria database describes a PBEsol-optimized structure of SrLiAg. The functional is meta-GGA SCAN.

Properties
Energy above the most stable polymorph in this dataset in eV per atom: 0.072
Total magnetic moment in Bohr magnetons per cell: 0.0
Energy in eV/atom: -18.81

```
data_SrLiAg
_chemical_formula_sum 'Sr2 Li2 Ag2'
_symmetry_space_group_name_H-M 'I 4 m m'
_symmetry_Int_Tables_number 107
_symmetry_space_group_name_Hall 'I 4 -2'
_cell_length_a 3.734
_cell_length_b 3.734
_cell_length_c 10.816
_cell_angle_alpha 90.00
_cell_angle_beta 90.00
_cell_angle_gamma 90.00
loop_
_atom_site_label
_atom_site_fract_x
_atom_site_fract_y
_atom_site_fract_z
Sr1 0.000 0.000 0.000
Li1 0.000 0.000 0.283
Ag1 0.000 0.000 0.689
```

---

This record from the Alexandria database describes a PBEsol-optimized structure of TlAu. The functional is meta-GGA SCAN.

Properties
Total magnetic moment in Bohr magnetons per cell: 0.0
Energy in eV/atom: -70.76

```
data_TlAu
_chemical_formula_sum 'Tl2 Au2'
_symmetry_space_group_name_H-M 'P 4/n m m'
_symmetry_Int_Tables_number 129
_cell_length_a 3.400
_cell_length_b 3.400
_cell_length_c 7.782
_cell_angle_alpha 90.00
_cell_angle_beta 90.00
_cell_angle_gamma 90.00
loop_
_symmetry_equiv_pos_as_xyz
'x,y,z'
'-x,-y,-z'
'-y+1/2,x,z'
'y+1/2,-x,-z'
'-x+1/2,-y+1/2,z'
'x+1/2,y+1/2,-z'
'y,-x+1/2,z'
'-y,x+1/2,-z'
'x+1/2,-y,-z'
'-x+1/2,y,z'
'-y,-x,-z'
'y,x,z'
'-x,y+1/2,-z'
'x,-y+1/2,z'
'y+1/2,x+1/2,-z'
'-y+1/2,-x+1/2,z'
loop_
_atom_site_label
_atom_site_fract_x
_atom_site_fract_y
_atom_site_fract_z
Tl1 0.250 0.250 0.170
Au1 0.250 0.250 0.594
```

---

This record from the Alexandria database describes a PBEsol-optimized structure of RbTlO2. The functional is meta-GGA SCAN.

Properties
Total magnetic moment in Bohr magnetons per cell: 0.0
Energy in eV/atom: -27.45

```
data_RbTlO2
_chemical_formula_sum 'Rb4 Tl4 O8'
_symmetry_space_group_name_H-M 'I -4 2 d'
_symmetry_Int_Tables_number 122
_symmetry_space_group_name_Hall 'I -4 2bw'
_cell_length_a 6.352
_cell_length_b 6.352
_cell_length_c 7.895
_cell_angle_alpha 90.00
_cell_angle_beta 90.00
_cell_angle_gamma 90.00
loop_
_atom_site_label
_atom_site_fract_x
_atom_site_fract_y
_atom_site_fract_z
Rb1 0.000 0.000 0.000
Tl1 0.000 0.000 0.500
O1 0.170 0.750 0.625
```

---

This record from the Alexandria database describes a PBEsol-optimized structure of ScAgTe2I. The functional is meta-GGA SCAN.

Properties
Total magnetic moment in Bohr magnetons per cell: 0.0
Energy in eV/atom: -31.56

```
data_ScAgTe2I
_chemical_formula_sum 'Sc1 Ag1 Te2 I1'
_symmetry_space_group_name_H-M 'P 4/m m m'
_symmetry_Int_Tables_number 123
_symmetry_space_group_name_Hall '-P 4 2'
_cell_length_a 5.479
_cell_length_b 5.479
_cell_length_c 5.578
_cell_angle_alpha 90.00
_cell_angle_beta 90.00
_cell_angle_gamma 90.00
loop_
_atom_site_label
_atom_site_fract_x
_atom_site_fract_y
_atom_site_fract_z
Sc1 0.000 0.000 0.000
Ag1 0.500 0.500 0.500
Te1 0.000 0.500 0.000
I1 0.000 0.000 0.500
```

---

This record from the Alexandria database describes a PBEsol-optimized structure of Si2RhCl. The functional is meta-GGA SCAN.

Properties
Total magnetic moment in Bohr magnetons per cell: 0.0
Energy in eV/atom: -14.89

```
data_Si2RhCl
_chemical_formula_sum 'Si2 Rh1 Cl1'
_symmetry_space_group_name_H-M 'P 4/m m m'
_symmetry_Int_Tables_number 123
_symmetry_space_group_name_Hall '-P 4 2'
_cell_length_a 3.524
_cell_length_b 3.524
_cell_length_c 4.863
_cell_angle_alpha 90.00
_cell_angle_beta 90.00
_cell_angle_gamma 90.00
loop_
_atom_site_label
_atom_site_fract_x
_atom_site_fract_y
_atom_site_fract_z
Si1 0.000 0.500 0.000
Rh1 0.000 0.000 0.500
Cl1 0.500 0.500 0.500
```

---

This record from the Alexandria database describes a PBEsol-optimized structure of La2MgAl. The functional is meta-GGA SCAN.

Properties
Total magnetic moment in Bohr magnetons per cell: 0.0
Energy in eV/atom: -25.01

```
data_La2MgAl
_chemical_formula_sum 'La8 Mg4 Al4'
_symmetry_space_group_name_H-M 'F m -3 m'
_symmetry_Int_Tables_number 225
_symmetry_space_group_name_Hall '-F 4 2 3'
_cell_length_a 7.627
_cell_length_b 7.627
_cell_length_c 7.627
_cell_angle_alpha 90.00
_cell_angle_beta 90.00
_cell_angle_gamma 90.00
loop_
_atom_site_label
_atom_site_fract_x
_atom_site_fract_y
_atom_site_fract_z
La1 0.250 0.250 0.250
Mg1 0.000 0.000 0.000
Al1 0.000 0.000 0.500
```

---

This record from the Alexandria database describes a PBEsol-optimized structure of TaCuHg. The functional is meta-GGA SCAN.

Properties
Energy above the most stable polymorph in this dataset in eV per atom: 0.000
Total magnetic moment in Bohr magnetons per cell: 0.0
Energy in eV/atom: -49.64

```
data_TaCuHg
_chemical_formula_sum 'Ta1 Cu1 Hg1'
_symmetry_space_group_name_H-M 'P -6 m 2'
_symmetry_Int_Tables_number 187
_symmetry_space_group_name_Hall 'P -6 2'
_cell_length_a 4.4307
_cell_length_b 4.4307
_cell_length_c 2.8614
_cell_angle_alpha 90.00
_cell_angle_beta 90.00
_cell_angle_gamma 120.00
loop_
_atom_site_label
_atom_site_fract_x
_atom_site_fract_y
_atom_site_fract_z
Ta1 0.0000 0.0000 0.0000
Cu1 0.3333 0.6667 0.5000
Hg1 0.6667 0.3333 0.5000
```

---

This record from the Alexandria database describes a PBEsol-optimized structure of HfH2PtN. The functional is meta-GGA SCAN.

Properties
Energy above the most stable polymorph in this dataset in eV per atom: 1.380
Total magnetic moment in Bohr magnetons per cell: 0.0
Energy in eV/atom: -28.97

```
data_HfH2PtN
_chemical_formula_sum 'Hf1 H2 Pt1 N1'
_symmetry_space_group_name_H-M 'P 4/m m m'
_symmetry_Int_Tables_number 123
_symmetry_space_group_name_Hall '-P 4 2'
_cell_length_a 3.894
_cell_length_b 3.894
_cell_length_c 3.729
_cell_angle_alpha 90.00
_cell_angle_beta 90.00
_cell_angle_gamma 90.00
loop_
_atom_site_label
_atom_site_fract_x
_atom_site_fract_y
_atom_site_fract_z
Hf1 0.000 0.000 0.000
H1 0.000 0.500 0.500
Pt1 0.500 0.500 0.000
N1 0.500 0.500 0.500
```